Entry 1:
Computed, not measured: a relaxed structure of CuAsIrOs at the PBE level of DFT.

Cell and atoms, written as POSCAR:
```
CuAsIrOs
1.0
1.519 -0.480 4.042
1.904 3.344 2.017
-2.002 1.960 3.320
As Cu Ir Os
1 1 1 1
Direct
0.000 0.000 0.000 As
0.750 0.750 0.750 Cu
0.500 0.500 0.500 Ir
0.250 0.250 0.250 Os
```

Results
Magnetization = 0.001 μB per atom
Symmetry = F-43m, No. 216
Relative energy among the computed polymorphs = 0 meV/atom

=====

Entry 2:
Computed, not measured: a relaxed structure of ScCuAsIr at the PBE level of DFT.

Cell and atoms, written as POSCAR:
```
ScCuAsIr
1.0
0.051 -4.225 -1.293
-3.632 -1.824 -1.735
-0.133 -0.996 -4.303
As Cu Ir Sc
1 1 1 1
Direct
0.250 0.250 0.250 As
0.750 0.750 0.750 Cu
0.000 0.000 0.000 Ir
0.500 0.500 0.500 Sc
```

Results
Magnetization = 0.001 μB per atom
Symmetry = F-43m, No. 216
Relative energy among the computed polymorphs = 0 meV/atom

=====

Entry 3:
Computed, not measured: a relaxed structure of ScCuAsIr at the PBE level of DFT.

Cell and atoms, written as POSCAR:
```
ScCuAsIr
1.0
0.000 3.169 3.169
3.169 0.000 3.169
3.169 3.169 0.000
As Cu Ir Sc
1 1 1 1
Direct
0.500 0.500 0.500 As
0.750 0.750 0.750 Cu
0.000 0.000 0.000 Ir
0.250 0.250 0.250 Sc
```

Results
Magnetization = 0.000 μB per atom
Symmetry = F-43m, No. 216
Relative energy among the computed polymorphs = 172 meV/atom

=====

Entry 4:
Computed, not measured: a relaxed structure of ScCuAsIr at the PBE level of DFT.

Cell and atoms, written as POSCAR:
```
ScCuAsIr
1.0
0.000 3.149 3.149
3.149 0.000 3.149
3.149 3.149 0.000
As Cu Ir Sc
1 1 1 1
Direct
0.000 0.000 0.000 As
0.750 0.750 0.750 Cu
0.250 0.250 0.250 Ir
0.500 0.500 0.500 Sc
```

Results
Magnetization = 0.000 μB per atom
Symmetry = F-43m, No. 216
Relative energy among the computed polymorphs = 51 meV/atom

=====

Entry 5:
Computed, not measured: a relaxed structure of TlCuAsIr at the PBE level of DFT.

Cell and atoms, written as POSCAR:
```
TlCuAsIr
1.0
0.000 3.260 3.260
3.260 0.000 3.260
3.260 3.260 0.000
As Cu Ir Tl
1 1 1 1
Direct
0.250 0.250 0.250 As
0.750 0.750 0.750 Cu
0.000 0.000 0.000 Ir
0.500 0.500 0.500 Tl
```

Results
Magnetization = 0.000 μB per atom
Symmetry = F-43m, No. 216
Relative energy among the computed polymorphs = 121 meV/atom

=====

Entry 6:
Computed, not measured: a relaxed structure of TlCuAsIr at the PBE level of DFT.

Cell and atoms, written as POSCAR:
```
TlCuAsIr
1.0
0.000 3.252 3.252
3.252 0.000 3.252
3.252 3.252 0.000
As Cu Ir Tl
1 1 1 1
Direct
0.000 0.000 0.000 As
0.750 0.750 0.750 Cu
0.250 0.250 0.250 Ir
0.500 0.500 0.500 Tl
```

Results
Magnetization = 0.002 μB per atom
Symmetry = F-43m, No. 216
Relative energy among the computed polymorphs = 0 meV/atom

=====

Entry 7:
Computed, not measured: a relaxed structure of ZnCuAsIr at the PBE level of DFT.

Cell and atoms, written as POSCAR:
```
ZnCuAsIr
1.0
2.249 -2.856 -2.434
2.326 -3.163 1.929
-1.322 -4.161 -0.270
As Cu Ir Zn
1 1 1 1
Direct
0.000 0.000 0.000 As
0.750 0.750 0.750 Cu
0.500 0.500 0.500 Ir
0.250 0.250 0.250 Zn
```

Results
Magnetization = 0.000 μB per atom
Symmetry = F-43m, No. 216
Relative energy among the computed polymorphs = 209 meV/atom

=====

Entry 8:
Computed, not measured: a relaxed structure of ZnCuAsIr at the PBE level of DFT.

Cell and atoms, written as POSCAR:
```
ZnCuAsIr
1.0
0.000 3.068 3.068
3.068 0.000 3.068
3.068 3.068 0.000
As Cu Ir Zn
1 1 1 1
Direct
0.000 0.000 0.000 As
0.750 0.750 0.750 Cu
0.250 0.250 0.250 Ir
0.500 0.500 0.500 Zn
```

Results
Magnetization = 0.000 μB per atom
Symmetry = F-43m, No. 216
Relative energy among the computed polymorphs = 0 meV/atom

=====

Entry 9:
Computed, not measured: a relaxed structure of K4Cu2As at the PBE level of DFT.

Cell and atoms, written as POSCAR:
```
K4Cu2As
1.0
4.242 -6.718 0.000
4.242 6.718 0.000
-0.016 0.000 5.206
As Cu K
1 2 4
Direct
0.000 0.000 0.000 As
0.500 0.000 0.500 Cu
0.000 0.500 0.500 Cu
0.761 0.239 0.000 K
0.239 0.761 0.000 K
0.770 0.770 0.498 K
0.230 0.230 0.502 K
```

Results
Electronic total energy = -0.1505 Ry per atom
Symmetry = C2/m, No. 12

=====

Entry 10:
Computed, not measured: a relaxed structure of KNaCuAs at the PBE level of DFT.

Cell and atoms, written as POSCAR:
```
KNaCuAs
1.0
-0.070 4.939 -2.591
-1.469 2.725 5.236
6.082 0.084 -0.006
As Cu K Na
2 2 2 2
Direct
0.000 0.239 0.239 As
0.500 0.743 0.743 As
0.251 0.491 0.491 Cu
0.749 0.491 0.491 Cu
0.000 0.684 0.029 K
0.000 0.029 0.684 K
0.500 0.993 0.330 Na
0.500 0.330 0.993 Na
```

Results
Symmetry = Amm2, No. 38
Relative energy among the computed polymorphs = 24 meV/atom

=====

Entry 11:
Computed, not measured: a relaxed structure of KNa3Cu2As2 at the PBE level of DFT.

Cell and atoms, written as POSCAR:
```
KNa3Cu2As2
1.0
-3.651 3.795 2.278
-4.173 -3.098 -1.527
1.130 -3.792 4.605
As Cu K Na
2 2 1 3
Direct
0.250 0.000 0.224 As
0.745 0.500 0.770 As
0.494 0.252 0.498 Cu
0.494 0.748 0.498 Cu
0.041 0.000 0.681 K
0.680 0.000 0.018 Na
0.968 0.500 0.314 Na
0.329 0.500 0.996 Na
```

Results
Electronic total energy = -0.2257 Ry per atom
Symmetry = Pm, No. 6

=====

Entry 12:
Computed, not measured: a relaxed structure of KNaCuAs at the PBE level of DFT.

Cell and atoms, written as POSCAR:
```
KNaCuAs
1.0
-2.416 -1.816 4.803
5.411 -1.641 2.102
2.036 4.896 2.876
As Cu K Na
2 2 2 2
Direct
0.750 0.758 0.253 As
0.250 0.253 0.758 As
0.000 0.493 0.493 Cu
0.500 0.493 0.493 Cu
0.750 0.323 0.021 K
0.250 0.021 0.323 K
0.750 0.981 0.678 Na
0.250 0.678 0.981 Na
```

Results
Symmetry = Ama2, No. 40
Relative energy among the computed polymorphs = 21 meV/atom